DFT (GGA-PBE) results for a geometry-optimized TbCuPtRh structure.

Summary:
Electronic total energy in eV per atom: -6.070
Energy relative to the elements in meV per atom: -540

abc: 4.596 4.596 4.596
angles: 60.00 60.00 60.00
Positions (direct):
Tb 0.250 0.250 0.250
Pt 0.000 0.000 0.000
Rh 0.500 0.500 0.500
Cu 0.750 0.750 0.750